# 1
## GdCdAu4 (PBE-GGA)

Data for a relaxed GdCdAu4 crystal.

Geometry as CIF:
```
data_GdCdAu4
_chemical_formula_sum 'Gd2 Cd2 Au8'
_space_group_name_H-M_alt 'C 1 m 1'
_space_group_IT_number 8
_cell_length_a 9.676
_cell_length_b 5.598
_cell_length_c 5.597
_cell_angle_alpha 90.00
_cell_angle_beta 125.24
_cell_angle_gamma 90.00
loop_
_space_group_symop_operation_xyz
'x,y,z'
'x,-y,z'
'x+1/2,y+1/2,z'
'x+1/2,-y+1/2,z'
loop_
_atom_site_label
_atom_site_fract_x
_atom_site_fract_y
_atom_site_fract_z
Gd1 0.000 0.000 0.000
Cd1 0.250 0.000 0.749
Au1 0.124 0.500 0.375
Au2 0.125 0.500 0.874
Au3 0.375 0.250 0.376
```


# 2
## KSi5Ir3 (PBE-GGA)

Data for a relaxed KSi5Ir3 crystal.

Geometry as CIF:
```
data_KSi5Ir3
_chemical_formula_sum 'K1 Si5 Ir3'
_space_group_name_H-M_alt 'P 6/m m m'
_space_group_IT_number 191
_space_group_name_Hall '-P 6 2'
_cell_length_a 5.3206
_cell_length_b 5.3206
_cell_length_c 7.9883
_cell_angle_alpha 90.00
_cell_angle_beta 90.00
_cell_angle_gamma 120.00
loop_
_atom_site_label
_atom_site_fract_x
_atom_site_fract_y
_atom_site_fract_z
K1 0.0000 0.0000 0.0000
Si1 0.0000 0.0000 0.5000
Si2 0.3333 0.6667 0.2544
Ir1 0.0000 0.5000 0.5000
```


# 3
## SrSmNi2As2 (PBE-GGA)

Data for a relaxed SrSmNi2As2 crystal.

Geometry as CIF:
```
data_SrSmNi2As2
_chemical_formula_sum 'Sr1 Sm1 Ni2 As2'
_space_group_name_H-M_alt 'P -3 m 1'
_space_group_IT_number 164
_space_group_name_Hall '-P 3 2"'
_cell_length_a 4.1021
_cell_length_b 4.1021
_cell_length_c 8.4019
_cell_angle_alpha 90.00
_cell_angle_beta 90.00
_cell_angle_gamma 120.00
loop_
_atom_site_label
_atom_site_fract_x
_atom_site_fract_y
_atom_site_fract_z
Sr1 0.0000 0.0000 0.0000
Sm1 0.0000 0.0000 0.5000
Ni1 0.3333 0.6667 0.7335
As1 0.3333 0.6667 0.2646
```


# 4
## Tl2HgPdBr6 (PBE-GGA)

Data for a relaxed Tl2HgPdBr6 crystal.

Geometry as CIF:
```
data_Tl2HgPdBr6
_chemical_formula_sum 'Tl4 Hg2 Pd2 Br12'
_space_group_name_H-M_alt 'P 1 21/c 1'
_space_group_IT_number 14
_cell_length_a 7.545
_cell_length_b 7.925
_cell_length_c 13.133
_cell_angle_alpha 90.00
_cell_angle_beta 123.88
_cell_angle_gamma 90.00
loop_
_space_group_symop_operation_xyz
'x,y,z'
'-x,-y,-z'
'-x,y+1/2,-z+1/2'
'x,-y+1/2,z+1/2'
loop_
_atom_site_label
_atom_site_fract_x
_atom_site_fract_y
_atom_site_fract_z
Tl1 0.229 0.093 0.250
Hg1 0.000 0.000 0.500
Pd1 0.500 0.000 0.000
Br1 0.179 0.165 0.949
Br2 0.242 0.679 0.968
Br3 0.364 0.522 0.279
```


The records above yield energy values of -42.73; -54.33; -32.47; -51.68 eV for the cell shown, respectively.